1.
DFT (PBE-GGA) results for a relaxed structure of TcPAu2.

Computed properties:
* energy of formation: 0.20 eV per atom
* raw total energy: -5.38 eV/atom
* crystal system: orthorhombic

Cell: 2.8189 2.8189 9.5292 Å, 90.00 90.00 113.72°
Element x y z (fractional)
Tc: 0.0000 0.0000 0.0000
P: 0.5000 0.5000 0.8230
Au: 0.0000 0.0000 0.5217
Au: 0.5000 0.5000 0.2579

---

2.
DFT (PBE-GGA) results for a relaxed structure of Cs3LaAg2F9.

Computed properties:
* raw total energy: -4.59 eV/atom
* crystal system: trigonal

Cell: 6.5912 6.5912 8.2640 Å, 90.00 90.00 120.00°
Element x y z (fractional)
Cs: 0.0000 0.0000 0.0000
Cs: 0.3333 0.6667 0.7037
Cs: 0.6667 0.3333 0.2963
La: 0.0000 0.0000 0.5000
Ag: 0.3333 0.6667 0.1588
Ag: 0.6667 0.3333 0.8412
F: 0.0000 0.5000 0.0000
F: 0.1639 0.3278 0.3336
F: 0.1639 0.8361 0.3336
F: 0.3278 0.1639 0.6664
F: 0.5000 0.0000 0.0000
F: 0.5000 0.5000 0.0000
F: 0.6722 0.8361 0.3336
F: 0.8361 0.1639 0.6664
F: 0.8361 0.6722 0.6664

---

- Among the records above, which one has the highest raw total energy?
  Cs3LaAg2F9